# 1
# LiLaCd2Pb | Alexandria via LeMat-Bulk | GGA-PBE | relaxed
data_LiLaCd2Pb
_chemical_formula_sum 'Li1 La1 Cd2 Pb1'
_space_group_name_H-M_alt 'P 4/m m m'
_space_group_IT_number 123
_space_group_name_Hall '-P 4 2'
_cell_length_a 4.952
_cell_length_b 4.952
_cell_length_c 5.217
_cell_angle_alpha 90.00
_cell_angle_beta 90.00
_cell_angle_gamma 90.00
loop_
_atom_site_label
_atom_site_fract_x
_atom_site_fract_y
_atom_site_fract_z
_atom_site_occupancy
Li1 0.000 0.000 0.000 1
La1 0.500 0.500 0.500 1
Cd1 0.000 0.500 0.000 1
Pb1 0.000 0.000 0.500 1
# * crystal system: tetragonal
# * DFT formation energy: -0.218 eV/atom


# 2
# LiLaCdPb2 | Alexandria via LeMat-Bulk | GGA-PBE | relaxed
data_LiLaCdPb2
_chemical_formula_sum 'Li1 La1 Cd1 Pb2'
_space_group_name_H-M_alt 'P 4/m m m'
_space_group_IT_number 123
_space_group_name_Hall '-P 4 2'
_cell_length_a 5.655
_cell_length_b 5.655
_cell_length_c 4.887
_cell_angle_alpha 90.00
_cell_angle_beta 90.00
_cell_angle_gamma 90.00
loop_
_atom_site_label
_atom_site_fract_x
_atom_site_fract_y
_atom_site_fract_z
_atom_site_occupancy
Li1 0.000 0.000 0.000 1
La1 0.500 0.500 0.000 1
Cd1 0.000 0.000 0.500 1
Pb1 0.000 0.500 0.500 1
# * crystal system: tetragonal
# * DFT formation energy: 0.001 eV/atom


# 3
# Li2LaCdPd4 | Alexandria via LeMat-Bulk | GGA-PBE | relaxed
data_Li2LaCdPd4
_chemical_formula_sum 'Li6 La3 Cd3 Pd12'
_space_group_name_H-M_alt 'R -3 m'
_space_group_IT_number 166
_space_group_name_Hall '-R 3 2"'
_cell_length_a 4.4543
_cell_length_b 4.4543
_cell_length_c 25.3049
_cell_angle_alpha 90.00
_cell_angle_beta 90.00
_cell_angle_gamma 120.00
loop_
_atom_site_label
_atom_site_fract_x
_atom_site_fract_y
_atom_site_fract_z
_atom_site_occupancy
Li1 0.0000 0.0000 0.2333 1
La1 0.0000 0.0000 0.0000 1
Cd1 0.0000 0.0000 0.5000 1
Pd1 0.0000 0.0000 0.1196 1
Pd2 0.0000 0.0000 0.3929 1
# * crystal system: trigonal
# * DFT formation energy: -0.531 eV/atom


# 4
# LiLaCd2Pd2 | Alexandria via LeMat-Bulk | GGA-PBE | relaxed
data_LiLaCd2Pd2
_chemical_formula_sum 'Li2 La2 Cd4 Pd4'
_space_group_name_H-M_alt 'I 4/m m m'
_space_group_IT_number 139
_space_group_name_Hall '-I 4 2'
_cell_length_a 5.420
_cell_length_b 5.420
_cell_length_c 10.084
_cell_angle_alpha 90.00
_cell_angle_beta 90.00
_cell_angle_gamma 90.00
loop_
_atom_site_label
_atom_site_fract_x
_atom_site_fract_y
_atom_site_fract_z
_atom_site_occupancy
Li1 0.000 0.000 0.000 1
La1 0.000 0.000 0.500 1
Cd1 0.000 0.500 0.250 1
Pd1 0.000 0.000 0.236 1
# * crystal system: tetragonal
# * DFT formation energy: -0.283 eV/atom


# 5
# LiLa2CdPd6 | Alexandria via LeMat-Bulk | GGA-PBE | relaxed
data_LiLa2CdPd6
_chemical_formula_sum 'Li2 La4 Cd2 Pd12'
_space_group_name_H-M_alt 'C 1 2/m 1'
_space_group_IT_number 12
_cell_length_a 9.850
_cell_length_b 5.697
_cell_length_c 8.764
_cell_angle_alpha 90.00
_cell_angle_beta 111.75
_cell_angle_gamma 90.00
loop_
_space_group_symop_operation_xyz
'x,y,z'
'-x,-y,-z'
'-x,y,-z'
'x,-y,z'
'x+1/2,y+1/2,z'
'-x+1/2,-y+1/2,-z'
'-x+1/2,y+1/2,-z'
'x+1/2,-y+1/2,z'
loop_
_atom_site_label
_atom_site_fract_x
_atom_site_fract_y
_atom_site_fract_z
_atom_site_occupancy
Li1 0.000 0.000 0.000 1
La1 0.209 0.500 0.129 1
Cd1 0.000 0.500 0.500 1
Pd1 0.009 0.251 0.774 1
Pd2 0.242 0.000 0.227 1
# * crystal system: monoclinic
# * DFT formation energy: -0.507 eV/atom


# 6
# LiLaCd2Pd4 | Alexandria via LeMat-Bulk | GGA-PBE | relaxed
data_LiLaCd2Pd4
_chemical_formula_sum 'Li3 La3 Cd6 Pd12'
_space_group_name_H-M_alt 'R -3 m'
_space_group_IT_number 166
_space_group_name_Hall '-R 3 2"'
_cell_length_a 4.6363
_cell_length_b 4.6363
_cell_length_c 24.5847
_cell_angle_alpha 90.00
_cell_angle_beta 90.00
_cell_angle_gamma 120.00
loop_
_atom_site_label
_atom_site_fract_x
_atom_site_fract_y
_atom_site_fract_z
_atom_site_occupancy
Li1 0.0000 0.0000 0.0000 1
La1 0.0000 0.0000 0.5000 1
Cd1 0.0000 0.0000 0.2609 1
Pd1 0.0000 0.0000 0.1032 1
Pd2 0.0000 0.0000 0.3752 1
# * crystal system: trigonal
# * DFT formation energy: -0.543 eV/atom


# 7
# Li2LaPmCd4 | Alexandria via LeMat-Bulk | GGA-PBE | relaxed
data_Li2LaPmCd4
_chemical_formula_sum 'Li6 La3 Pm3 Cd12'
_space_group_name_H-M_alt 'R -3 m'
_space_group_IT_number 166
_space_group_name_Hall '-R 3 2"'
_cell_length_a 5.1838
_cell_length_b 5.1838
_cell_length_c 25.5756
_cell_angle_alpha 90.00
_cell_angle_beta 90.00
_cell_angle_gamma 120.00
loop_
_atom_site_label
_atom_site_fract_x
_atom_site_fract_y
_atom_site_fract_z
_atom_site_occupancy
Li1 0.0000 0.0000 0.2489 1
La1 0.0000 0.0000 0.0000 1
Pm1 0.0000 0.0000 0.5000 1
Cd1 0.0000 0.0000 0.1263 1
Cd2 0.0000 0.0000 0.3778 1
# * crystal system: trigonal
# * DFT formation energy: -0.280 eV/atom


# 8
# LiLaPrCd | Alexandria via LeMat-Bulk | GGA-PBE | relaxed
data_LiLaPrCd
_chemical_formula_sum 'Li4 La4 Pr4 Cd4'
_space_group_name_H-M_alt 'F -4 3 m'
_space_group_IT_number 216
_space_group_name_Hall 'F -4 2 3'
_cell_length_a 7.782
_cell_length_b 7.782
_cell_length_c 7.782
_cell_angle_alpha 90.00
_cell_angle_beta 90.00
_cell_angle_gamma 90.00
loop_
_atom_site_label
_atom_site_fract_x
_atom_site_fract_y
_atom_site_fract_z
_atom_site_occupancy
Li1 0.000 0.000 0.000 1
La1 0.250 0.250 0.250 1
Pr1 0.250 0.250 0.750 1
Cd1 0.000 0.000 0.500 1
# * crystal system: cubic
# * DFT formation energy: -0.123 eV/atom


Copy entry 6 word for word.
# LiLaCd2Pd4 | Alexandria via LeMat-Bulk | GGA-PBE | relaxed
data_LiLaCd2Pd4
_chemical_formula_sum 'Li3 La3 Cd6 Pd12'
_space_group_name_H-M_alt 'R -3 m'
_space_group_IT_number 166
_space_group_name_Hall '-R 3 2"'
_cell_length_a 4.6363
_cell_length_b 4.6363
_cell_length_c 24.5847
_cell_angle_alpha 90.00
_cell_angle_beta 90.00
_cell_angle_gamma 120.00
loop_
_atom_site_label
_atom_site_fract_x
_atom_site_fract_y
_atom_site_fract_z
_atom_site_occupancy
Li1 0.0000 0.0000 0.0000 1
La1 0.0000 0.0000 0.5000 1
Cd1 0.0000 0.0000 0.2609 1
Pd1 0.0000 0.0000 0.1032 1
Pd2 0.0000 0.0000 0.3752 1
# * crystal system: trigonal
# * DFT formation energy: -0.543 eV/atom


What is the DFT formation energy in the fourth record? -0.283 eV/atom